Cs2ZnHg | PBE | optimized geometry

abc: 5.1701 5.1701 12.9540
angles: 78.49 78.49 60.00
Positions (direct):
Zn  0.5000  0.5000  0.5000
Cs  0.8935  0.8935  0.3196
Cs  0.1065  0.1065  0.6804
Hg  0.0000  0.0000  0.0000

## Properties
* crystal system: trigonal
* symmetry: R-3m, No. 166
* polymorph energy (0 for the lowest one): 0.149 eV per atom
* V: 291.8 Å³ per cell

=====

Cs2ZnHg6 | PBE | optimized geometry

abc: 7.6394 7.6394 7.6394
angles: 60.00 60.00 60.00
Positions (direct):
Hg  0.7766  0.7766  0.2234
Hg  0.7766  0.2234  0.2234
Hg  0.2234  0.7766  0.2234
Hg  0.2234  0.7766  0.7766
Hg  0.2234  0.2234  0.7766
Hg  0.7766  0.2234  0.7766
Zn  0.5000  0.5000  0.5000
Cs  0.2500  0.2500  0.2500
Cs  0.7500  0.7500  0.7500

## Properties
* crystal system: cubic
* symmetry: Fm-3m, No. 225
* V: 315.3 Å³ per cell

=====

Cs2ZnHg4 | PBE | optimized geometry

abc: 5.5650 5.5650 10.2086
angles: 74.18 74.18 90.00
Positions (direct):
Hg  0.1463  0.1463  0.7073
Hg  0.8537  0.8537  0.2927
Hg  0.5000  0.0000  0.0000
Hg  0.0000  0.5000  0.0000
Zn  0.0000  0.0000  0.0000
Cs  0.6445  0.6445  0.7111
Cs  0.3555  0.3555  0.2889

## Properties
* crystal system: tetragonal
* symmetry: I4/mmm, No. 139
* V: 291.7 Å³ per cell

=====

CsZn3Hg | PBE | optimized geometry

abc: 5.4143 5.4143 5.4143
angles: 90.00 90.00 90.00
Positions (direct):
Zn  0.0000  0.5000  0.0000
Zn  0.0000  0.0000  0.5000
Zn  0.5000  0.0000  0.0000
Cs  0.5000  0.5000  0.5000
Hg  0.0000  0.0000  0.0000

## Properties
* crystal system: cubic
* symmetry: Pm-3m, No. 221
* polymorph energy (0 for the lowest one): 0.000 eV per atom
* V: 158.7 Å³ per cell

=====

no.,DOS at the Fermi energy (states/eV per atom),uncorrected energy (eV/atom),total moment (μB per formula unit)
1,1.2201,-0.65,0.00
2,0.4466,-0.68,0.00
3,0.7580,-0.74,0.00
4,0.5999,-0.81,0.00